This record from Alexandria via LeMat-Bulk describes a relaxed structure of Ac12Co2Sn5. The functional is PBE-GGA.

ΔE_f in kJ/mol of formula units: -555.6
Magnetization in Bohr magnetons per cell: 2.076

```
data_Ac12Co2Sn5
_chemical_formula_sum 'Ac24 Co4 Sn10'
_space_group_name_H-M_alt 'C 1 2/m 1'
_space_group_IT_number 12
_space_group_name_Hall '-C 2y'
_cell_length_a 18.730
_cell_length_b 8.338
_cell_length_c 10.456
_cell_angle_alpha 90.00
_cell_angle_beta 106.19
_cell_angle_gamma 90.00
loop_
_atom_site_label
_atom_site_type_symbol
_atom_site_fract_x
_atom_site_fract_y
_atom_site_fract_z
Ac1 Ac 0.002 0.000 0.212
Ac2 Ac 0.004 0.500 0.825
Ac3 Ac 0.147 0.252 0.572
Ac4 Ac 0.159 0.242 0.082
Co1 Co 0.000 0.231 0.000
Sn1 Sn 0.000 0.500 0.500
Sn2 Sn 0.190 0.000 0.836
Sn3 Sn 0.199 0.000 0.360
```

---

This record from Alexandria via LeMat-Bulk describes a relaxed structure of EuInHgAu. The functional is PBE-GGA.

ΔE_f in kJ/mol of formula units: -144.9
Magnetization in Bohr magnetons per cell: 28.409

```
data_EuInHgAu
_chemical_formula_sum 'Eu4 In4 Hg4 Au4'
_space_group_name_H-M_alt 'F -4 3 m'
_space_group_IT_number 216
_space_group_name_Hall 'F -4 2 3'
_cell_length_a 7.308
_cell_length_b 7.308
_cell_length_c 7.308
_cell_angle_alpha 90.00
_cell_angle_beta 90.00
_cell_angle_gamma 90.00
loop_
_atom_site_label
_atom_site_type_symbol
_atom_site_fract_x
_atom_site_fract_y
_atom_site_fract_z
Eu1 Eu 0.000 0.000 0.000
In1 In 0.250 0.250 0.750
Hg1 Hg 0.000 0.000 0.500
Au1 Au 0.250 0.250 0.250
```

---

This record from Alexandria via LeMat-Bulk describes a relaxed structure of Er8Te4AsS3. The functional is PBE-GGA.

Magnetization in Bohr magnetons per cell: 0.000
E in eV per atom: -5.699

```
data_Er8Te4AsS3
_chemical_formula_sum 'Er24 Te12 As3 S9'
_space_group_name_H-M_alt 'R -3 m'
_space_group_IT_number 166
_space_group_name_Hall '-R 3 2"'
_cell_length_a 8.1425
_cell_length_b 8.1425
_cell_length_c 20.7442
_cell_angle_alpha 90.00
_cell_angle_beta 90.00
_cell_angle_gamma 120.00
loop_
_atom_site_label
_atom_site_type_symbol
_atom_site_fract_x
_atom_site_fract_y
_atom_site_fract_z
Er1 Er 0.0000 0.0000 0.2341
Er2 Er 0.0057 0.5029 0.7647
Te1 Te 0.0000 0.0000 0.0000
Te2 Te 0.0000 0.5000 0.0000
As1 As 0.0000 0.0000 0.5000
S1 S 0.0000 0.5000 0.5000
```

---

- Which value of magnetization does entry 2 give?
  28.409 Bohr magnetons per cell